DFT (PBE-GGA) results for SrLa2Os after structural relaxation.

The density of states at the Fermi level comes out at 1.205 states/eV per atom. Its excess energy over the best structure of this formula in the dataset is 2.222 eV/f.u.

The space group is F-43m (No. 216) and the conventional cell measures 7.582, 7.582 and 7.582 Å, with angles of 90.00, 90.00 and 90.00 degrees. The asymmetric unit holds Sr at (0.000, 0.000, 0.000), La at (0.000, 0.000, 0.500), La at (0.250, 0.250, 0.250) and Os at (0.250, 0.250, 0.750).